Below is an optimized crystal structure of Na2ZrSi4O11, with properties calculated at the PBE level.

Structure (extended XYZ):
```
36
Lattice="5.595 -5.123 0.000 5.595 5.123 0.000 -1.581 0.000 8.547" Properties=species:S:1:pos:R:3 pbc="T T T"
Na 4.409 4.348 6.410
Na 4.409 1.084 6.410
Na 5.200 -1.084 2.137
Na 5.200 -4.348 2.137
Zr 2.007 2.562 4.274
Zr 2.797 -2.562 0.000
Si 4.917 2.898 0.625
Si 2.737 0.740 1.190
Si 5.482 2.898 3.649
Si 1.946 -0.740 5.464
Si 7.662 0.740 3.083
Si 4.127 -2.898 4.898
Si 6.872 -0.740 7.357
Si 4.691 -2.898 7.922
O 1.604 1.051 0.032
O 2.192 1.377 2.574
O 5.200 3.491 2.137
O 4.138 2.751 4.538
O 2.214 0.853 5.515
O 4.172 1.446 0.736
O 0.813 -1.051 4.305
O 4.680 2.751 8.283
O 3.005 -0.853 1.242
O 1.401 -1.377 6.847
O 6.227 1.446 3.537
O 3.382 -1.446 5.010
O 8.207 1.377 1.700
O 6.604 0.853 7.305
O 4.929 -2.751 0.264
O 8.795 1.051 4.242
O 5.437 -1.446 7.811
O 7.394 -0.853 3.032
O 5.470 -2.751 4.009
O 4.409 -3.491 6.410
O 7.417 -1.377 5.974
O 8.005 -1.051 8.516
```

Values from the calculation:
* total DFT energy (no corrections): -7.63 eV per atom
* density: 2.9 Mg/m³
* energy relative to the elements, uncorrected: -2.77 eV/atom

=====

Below is an optimized crystal structure of LiCuCl2, with properties calculated at the PBE level.

Structure (extended XYZ):
```
4
Lattice="-1.747 3.391 3.750 1.747 -3.391 3.750 1.747 3.391 -3.750" Properties=species:S:1:pos:R:3 pbc="T T T"
Li 0.000 0.000 0.000
Cu 0.000 3.391 0.000
Cl 1.747 1.732 0.000
Cl 0.000 1.659 3.750
```

Values from the calculation:
* total DFT energy (no corrections): -3.36 eV per atom
* density: 2.6 Mg/m³
* energy relative to the elements, uncorrected: -0.93 eV/atom

=====

Below is an optimized crystal structure of Ac2GeN, with properties calculated at the PBE level.

Structure (extended XYZ):
```
4
Lattice="2.009 1.160 7.666 -2.009 1.160 7.666 0.000 -2.320 7.666" Properties=species:S:1:pos:R:3 pbc="T T T"
Ac 0.000 0.000 5.369
Ac 0.000 0.000 17.631
Ge 0.000 0.000 0.000
N 0.000 0.000 11.500
```

Values from the calculation:
* total DFT energy (no corrections): -6.02 eV per atom
* ΔE to the lowest computed polymorph: 16.8 kJ/mol of formula units
* density: 8.4 Mg/m³
* energy relative to the elements, uncorrected: -0.73 eV/atom